(1)
{
  "formula": "CdPdS2N",
  "functional": "PBE-GGA",
  "state": "optimized geometry",
  "lattice_angstrom": [[4.970, 0.000, 0.000], [0.000, 4.970, 0.000], [0.000, 0.000, 3.717]],
  "species": ["Cd", "Pd", "S", "S", "N"],
  "fractional_positions": [[0.000, 0.000, 0.000], [0.500, 0.500, 0.500], [0.000, 0.500, 0.500], [0.500, 0.000, 0.500], [0.500, 0.500, 0.000]],
  "sg": "P4/mmm, No. 123",
  "formation_energy_uncorrected_ev_per_atom": 0.658,
  "e_above_lowest_polymorph_mev_per_atom": 0
}



(2)
{
  "formula": "SbOs3",
  "functional": "PBE-GGA",
  "state": "optimized geometry",
  "lattice_angstrom": [[2.912, 0.000, 0.000], [-1.456, 2.522, 0.000], [0.000, 0.000, 26.093]],
  "species": ["Sb", "Sb", "Sb", "Os", "Os", "Os", "Os", "Os", "Os", "Os", "Os", "Os"],
  "fractional_positions": [[0.000, 0.000, 0.000], [0.333, 0.667, 0.667], [0.667, 0.333, 0.333], [0.000, 0.000, 0.248], [0.000, 0.000, 0.500], [0.000, 0.000, 0.752], [0.333, 0.667, 0.167], [0.333, 0.667, 0.419], [0.333, 0.667, 0.914], [0.667, 0.333, 0.086], [0.667, 0.333, 0.581], [0.667, 0.333, 0.833]],
  "sg": "R-3m, No. 166",
  "formation_energy_uncorrected_ev_per_atom": 0.645
}



(3)
{
  "formula": "Th2SiRh4",
  "functional": "PBE-GGA",
  "state": "optimized geometry",
  "lattice_angstrom": [[15.424, 0.000, 0.000], [0.000, 4.410, 0.000], [-1.255, 0.000, 4.227]],
  "species": ["Th", "Th", "Th", "Th", "Si", "Si", "Rh", "Rh", "Rh", "Rh", "Rh", "Rh", "Rh", "Rh"],
  "fractional_positions": [[0.157, 0.000, 0.157], [0.343, 0.500, 0.843], [0.657, 0.500, 0.157], [0.843, 0.000, 0.843], [0.000, 0.500, 0.500], [0.500, 0.000, 0.500], [0.000, 0.000, 0.500], [0.000, 0.500, 0.000], [0.156, 0.500, 0.656], [0.344, 0.000, 0.344], [0.500, 0.000, 0.000], [0.500, 0.500, 0.500], [0.656, 0.000, 0.656], [0.844, 0.500, 0.344]],
  "sg": "C2/m, No. 12",
  "formation_energy_uncorrected_ev_per_atom": -0.664
}